{"formula": "Na3SnCl7", "functional": "PBE-GGA", "state": "optimized geometry", "lattice": [[-3.770, -6.283, 0.605], [3.707, -4.434, 4.545], [-3.453, 2.199, 5.520]], "species": ["Na", "Na", "Na", "Cl", "Cl", "Cl", "Cl", "Cl", "Cl", "Cl", "Sn"], "fractional_positions": [[0.348, 0.348, 0.923], [0.272, 0.804, 0.474], [0.804, 0.272, 0.474], [0.450, 0.450, 0.571], [0.119, 0.712, 0.133], [0.712, 0.119, 0.133], [0.357, 0.959, 0.817], [0.914, 0.914, 0.685], [0.959, 0.357, 0.817], [0.158, 0.158, 0.253], [0.032, 0.032, 0.969]], "density_g_cm3": 2.1, "e_tot_ev_per_atom": -3.2885, "vol_a3_per_atom": 32.07, "space_group": "Cm, No. 8"}